No. 1
# PBE-GGA Sb2RhIBr, relaxed
# Magnetization   0.834 μB/f.u.
# Calculated volume   167.8 Å³/cell
# Uncorrected formation energy   1.4166 eV/atom
# Relative energy among the computed polymorphs   1230 meV per atom
data_Sb2RhIBr
_chemical_formula_sum 'Sb2 Rh1 I1 Br1'
_space_group_name_H-M_alt 'P 4/m m m'
_space_group_IT_number 123
_space_group_name_Hall '-P 4 2'
_cell_length_a 5.505
_cell_length_b 5.505
_cell_length_c 5.537
_cell_angle_alpha 90.00
_cell_angle_beta 90.00
_cell_angle_gamma 90.00
loop_
_atom_site_label
_atom_site_type_symbol
_atom_site_fract_x
_atom_site_fract_y
_atom_site_fract_z
Sb1 Sb 0.000 0.500 0.000
Rh1 Rh 0.000 0.000 0.500
I1 I 0.500 0.500 0.500
Br1 Br 0.500 0.500 0.000


No. 2
# PBE-GGA Cr3NiPd, relaxed
# Formation energy   1.301 eV per atom
# Magnetization   0.000 μB/f.u.
# Calculated volume   74.7 Å³/cell
# Relative energy among the computed polymorphs   0 meV per atom
data_Cr3NiPd
_chemical_formula_sum 'Cr3 Ni1 Pd1'
_space_group_name_H-M_alt 'P m -3 m'
_space_group_IT_number 221
_space_group_name_Hall '-P 4 2 3'
_cell_length_a 4.212
_cell_length_b 4.212
_cell_length_c 4.212
_cell_angle_alpha 90.00
_cell_angle_beta 90.00
_cell_angle_gamma 90.00
loop_
_atom_site_label
_atom_site_type_symbol
_atom_site_fract_x
_atom_site_fract_y
_atom_site_fract_z
Cr1 Cr 0.000 0.000 0.500
Ni1 Ni 0.000 0.000 0.000
Pd1 Pd 0.500 0.500 0.500


No. 3
# PBE-GGA Pm8Rh3SeBr4, relaxed
# Magnetization   0.000 μB/f.u.
# Calculated volume   1385.1 Å³/cell
# Uncorrected formation energy   -1.1442 eV/atom
data_Pm8Rh3SeBr4
_chemical_formula_sum 'Pm24 Rh9 Se3 Br12'
_space_group_name_H-M_alt 'R -3 m'
_space_group_IT_number 166
_space_group_name_Hall '-R 3 2"'
_cell_length_a 8.3676
_cell_length_b 8.3676
_cell_length_c 22.8431
_cell_angle_alpha 90.00
_cell_angle_beta 90.00
_cell_angle_gamma 120.00
loop_
_atom_site_label
_atom_site_type_symbol
_atom_site_fract_x
_atom_site_fract_y
_atom_site_fract_z
Pm1 Pm 0.0000 0.0000 0.2316
Pm2 Pm 0.0190 0.5095 0.7669
Rh1 Rh 0.0000 0.5000 0.5000
Se1 Se 0.0000 0.0000 0.5000
Br1 Br 0.0000 0.0000 0.0000
Br2 Br 0.0000 0.5000 0.0000


No. 4
# PBE-GGA CaTaCu2, relaxed
# Formation energy   0.312 eV per atom
# Magnetization   0.000 μB/f.u.
# Calculated volume   137.4 Å³/cell
# Relative energy among the computed polymorphs   155 meV per atom
data_CaTaCu2
_chemical_formula_sum 'Ca2 Ta2 Cu4'
_space_group_name_H-M_alt 'C 1 m 1'
_space_group_IT_number 8
_cell_length_a 10.408
_cell_length_b 2.777
_cell_length_c 4.952
_cell_angle_alpha 90.00
_cell_angle_beta 106.23
_cell_angle_gamma 90.00
loop_
_space_group_symop_operation_xyz
'x,y,z'
'x,-y,z'
'x+1/2,y+1/2,z'
'x+1/2,-y+1/2,z'
loop_
_atom_site_label
_atom_site_type_symbol
_atom_site_fract_x
_atom_site_fract_y
_atom_site_fract_z
Ca1 Ca 0.000 0.000 0.000
Ta1 Ta 0.295 0.500 0.381
Cu1 Cu 0.044 0.500 0.518
Cu2 Cu 0.239 0.000 0.843